## A
Density functional theory data (PBE) for crystalline ScReP at its relaxed geometry.

The structure in CIF format:
```
data_ScReP
_symmetry_space_group_name_H-M 'P 1'
_symmetry_Int_Tables_number 1
_symmetry_space_group_name_Hall 'P 1'
_cell_length_a 5.415
_cell_length_b 5.415
_cell_length_c 5.415
_cell_angle_alpha 146.56
_cell_angle_beta 146.56
_cell_angle_gamma 48.01
loop_
_atom_site_label
_atom_site_type_symbol
_atom_site_fract_x
_atom_site_fract_y
_atom_site_fract_z
P1 P 0.971 0.971 0.000
Re1 Re 0.365 0.365 0.000
Sc1 Sc 0.664 0.664 0.000
```

Computed properties:
V: 48.0 Å³/cell
D(E_F): 2.202 states/eV/f.u.

---

## B
Density functional theory data (PBE) for crystalline ScReP at its relaxed geometry.

The structure in CIF format:
```
data_ScReP
_symmetry_space_group_name_H-M 'P 1'
_symmetry_Int_Tables_number 1
_symmetry_space_group_name_Hall 'P 1'
_cell_length_a 4.305
_cell_length_b 4.305
_cell_length_c 4.305
_cell_angle_alpha 60.00
_cell_angle_beta 60.00
_cell_angle_gamma 60.00
loop_
_atom_site_label
_atom_site_type_symbol
_atom_site_fract_x
_atom_site_fract_y
_atom_site_fract_z
Re1 Re 0.500 0.500 0.500
P1 P 0.000 0.000 0.000
Sc1 Sc 0.750 0.750 0.750
```

Computed properties:
V: 56.4 Å³/cell
D(E_F): 3.009 states/eV/f.u.

---

## C
Density functional theory data (PBE) for crystalline ScReP at its relaxed geometry.

The structure in CIF format:
```
data_ScReP
_symmetry_space_group_name_H-M 'P 1'
_symmetry_Int_Tables_number 1
_symmetry_space_group_name_Hall 'P 1'
_cell_length_a 4.229
_cell_length_b 4.229
_cell_length_c 4.229
_cell_angle_alpha 60.00
_cell_angle_beta 60.00
_cell_angle_gamma 60.00
loop_
_atom_site_label
_atom_site_type_symbol
_atom_site_fract_x
_atom_site_fract_y
_atom_site_fract_z
Re1 Re 0.750 0.750 0.750
Sc1 Sc 0.000 0.000 0.000
P1 P 0.500 0.500 0.500
```

Computed properties:
V: 53.5 Å³/cell
D(E_F): 3.295 states/eV/f.u.

---

## D
Density functional theory data (PBE) for crystalline ScReP at its relaxed geometry.

The structure in CIF format:
```
data_ScReP
_symmetry_space_group_name_H-M 'P 1'
_symmetry_Int_Tables_number 1
_symmetry_space_group_name_Hall 'P 1'
_cell_length_a 4.103
_cell_length_b 4.103
_cell_length_c 3.396
_cell_angle_alpha 90.00
_cell_angle_beta 90.00
_cell_angle_gamma 120.00
loop_
_atom_site_label
_atom_site_type_symbol
_atom_site_fract_x
_atom_site_fract_y
_atom_site_fract_z
Re1 Re 0.667 0.333 0.000
Sc1 Sc 0.333 0.667 0.500
P1 P 0.000 0.000 0.000
```

Computed properties:
V: 49.5 Å³/cell
D(E_F): 2.133 states/eV/f.u.

---

Least stable structure: B

---

## A
Density functional theory data (PBE) for crystalline Sc3ReP at its relaxed geometry.

The structure in CIF format:
```
data_Sc3ReP
_symmetry_space_group_name_H-M 'P 1'
_symmetry_Int_Tables_number 1
_symmetry_space_group_name_Hall 'P 1'
_cell_length_a 4.770
_cell_length_b 4.770
_cell_length_c 4.770
_cell_angle_alpha 90.00
_cell_angle_beta 90.00
_cell_angle_gamma 90.00
loop_
_atom_site_label
_atom_site_type_symbol
_atom_site_fract_x
_atom_site_fract_y
_atom_site_fract_z
P1 P 0.000 0.000 0.000
Sc1 Sc 0.000 0.500 0.000
Sc2 Sc 0.500 0.000 0.000
Sc3 Sc 0.000 0.000 0.500
Re1 Re 0.500 0.500 0.500
```

Computed properties:
V: 108.5 Å³/cell
D(E_F): 7.023 states/eV/f.u.

---

## B
Density functional theory data (PBE) for crystalline Sc3ReP at its relaxed geometry.

The structure in CIF format:
```
data_Sc3ReP
_symmetry_space_group_name_H-M 'P 1'
_symmetry_Int_Tables_number 1
_symmetry_space_group_name_Hall 'P 1'
_cell_length_a 4.967
_cell_length_b 4.967
_cell_length_c 4.967
_cell_angle_alpha 90.00
_cell_angle_beta 90.00
_cell_angle_gamma 90.00
loop_
_atom_site_label
_atom_site_type_symbol
_atom_site_fract_x
_atom_site_fract_y
_atom_site_fract_z
Re1 Re 0.000 0.000 0.000
P1 P 0.500 0.500 0.500
Sc1 Sc 0.000 0.000 0.500
Sc2 Sc 0.500 0.000 0.000
Sc3 Sc 0.000 0.500 0.000
```

Computed properties:
V: 122.5 Å³/cell
D(E_F): 5.433 states/eV/f.u.

---

Least stable structure: B

---

## A
Density functional theory data (PBE) for crystalline RePSe3 at its relaxed geometry.

The structure in CIF format:
```
data_RePSe3
_symmetry_space_group_name_H-M 'P 1'
_symmetry_Int_Tables_number 1
_symmetry_space_group_name_Hall 'P 1'
_cell_length_a 4.842
_cell_length_b 4.842
_cell_length_c 4.842
_cell_angle_alpha 90.00
_cell_angle_beta 90.00
_cell_angle_gamma 90.00
loop_
_atom_site_label
_atom_site_type_symbol
_atom_site_fract_x
_atom_site_fract_y
_atom_site_fract_z
Se1 Se 0.500 0.000 0.000
Se2 Se 0.000 0.500 0.000
Se3 Se 0.000 0.000 0.500
P1 P 0.500 0.500 0.500
Re1 Re 0.000 0.000 0.000
```

Computed properties:
V: 113.5 Å³/cell
D(E_F): 5.301 states/eV/f.u.

---

## B
Density functional theory data (PBE) for crystalline RePSe3 at its relaxed geometry.

The structure in CIF format:
```
data_RePSe3
_symmetry_space_group_name_H-M 'P 1'
_symmetry_Int_Tables_number 1
_symmetry_space_group_name_Hall 'P 1'
_cell_length_a 4.623
_cell_length_b 4.623
_cell_length_c 4.623
_cell_angle_alpha 90.00
_cell_angle_beta 90.00
_cell_angle_gamma 90.00
loop_
_atom_site_label
_atom_site_type_symbol
_atom_site_fract_x
_atom_site_fract_y
_atom_site_fract_z
Re1 Re 0.500 0.500 0.500
Se1 Se 0.000 0.500 0.000
Se2 Se 0.000 0.000 0.500
Se3 Se 0.500 0.000 0.000
P1 P 0.000 0.000 0.000
```

Computed properties:
V: 98.8 Å³/cell
D(E_F): 5.836 states/eV/f.u.

---

Least stable structure: B

---

## A
Density functional theory data (PBE) for crystalline RePSe at its relaxed geometry.

The structure in CIF format:
```
data_RePSe
_symmetry_space_group_name_H-M 'P 1'
_symmetry_Int_Tables_number 1
_symmetry_space_group_name_Hall 'P 1'
_cell_length_a 6.090
_cell_length_b 6.139
_cell_length_c 6.241
_cell_angle_alpha 116.52
_cell_angle_beta 90.00
_cell_angle_gamma 90.00
loop_
_atom_site_label
_atom_site_type_symbol
_atom_site_fract_x
_atom_site_fract_y
_atom_site_fract_z
Re1 Re 0.497 0.290 0.041
Re2 Re 0.986 0.279 0.559
Re3 Re 0.997 0.710 0.959
Re4 Re 0.486 0.721 0.441
Se1 Se 0.871 0.673 0.568
Se2 Se 0.880 0.158 0.110
Se3 Se 0.380 0.842 0.890
Se4 Se 0.371 0.327 0.432
P1 P 0.639 0.660 0.074
P2 P 0.139 0.340 0.926
P3 P 0.630 0.150 0.617
P4 P 0.130 0.850 0.383
```

Computed properties:
V: 208.8 Å³/cell
D(E_F): 0.682 states/eV/f.u.

---

## B
Density functional theory data (PBE) for crystalline RePSe at its relaxed geometry.

The structure in CIF format:
```
data_RePSe
_symmetry_space_group_name_H-M 'P 1'
_symmetry_Int_Tables_number 1
_symmetry_space_group_name_Hall 'P 1'
_cell_length_a 7.927
_cell_length_b 7.702
_cell_length_c 2.882
_cell_angle_alpha 83.79
_cell_angle_beta 75.02
_cell_angle_gamma 21.19
loop_
_atom_site_label
_atom_site_type_symbol
_atom_site_fract_x
_atom_site_fract_y
_atom_site_fract_z
Re1 Re 0.343 0.343 0.657
P1 P 0.960 0.960 0.040
Se1 Se 0.697 0.697 0.303
```

Computed properties:
V: 56.8 Å³/cell
D(E_F): 2.885 states/eV/f.u.

---

Least stable structure: B